# 1
GGA-PBE TmAgRh2, optimized geometry; crystal system = tetragonal; formation energy from the elements = -0.4623 eV per atom; uncorrected energy = -5.969 eV/atom; calculated volume = 68.5 Å³/cell; density = 11.70 g cm⁻³
1.0
4.164 0.000 0.000
0.000 4.164 0.000
0.000 0.000 3.949
Tm Ag Rh
1 1 2
Direct
0.000 0.000 0.000 Tm
0.500 0.500 0.000 Ag
0.000 0.500 0.500 Rh
0.500 0.000 0.500 Rh

# 2
GGA-PBE YTmAgRh, optimized geometry; ΔE to the lowest computed polymorph = 0.00 eV per formula unit; crystal system = tetragonal; formation energy from the elements = -0.6132 eV per atom; uncorrected energy = -5.898 eV/atom; calculated volume = 87.0 Å³/cell; density = 8.95 g cm⁻³
1.0
3.494 0.000 0.000
0.000 3.494 0.000
0.000 0.000 7.126
Y Tm Ag Rh
1 1 1 1
Direct
0.000 0.000 0.000 Y
0.000 0.000 0.541 Tm
0.500 0.500 0.278 Ag
0.500 0.500 0.762 Rh

# 3
GGA-PBE YTmAgRh, optimized geometry; ΔE to the lowest computed polymorph = 0.08 eV per formula unit; crystal system = cubic; formation energy from the elements = -0.5932 eV per atom; uncorrected energy = -5.878 eV/atom; calculated volume = 86.4 Å³/cell; density = 9.01 g cm⁻³
1.0
0.000 3.509 3.509
3.509 0.000 3.509
3.509 3.509 0.000
Y Tm Ag Rh
1 1 1 1
Direct
0.000 0.000 0.000 Y
0.500 0.500 0.500 Tm
0.250 0.250 0.250 Ag
0.750 0.750 0.750 Rh

# 4
GGA-PBE TmZrAgRh, optimized geometry; crystal system = cubic; formation energy from the elements = -0.4580 eV per atom; uncorrected energy = -6.264 eV/atom; calculated volume = 80.2 Å³/cell; density = 9.75 g cm⁻³
1.0
0.000 3.423 3.423
3.423 0.000 3.423
3.423 3.423 0.000
Tm Zr Ag Rh
1 1 1 1
Direct
0.000 0.000 0.000 Tm
0.500 0.500 0.500 Zr
0.750 0.750 0.750 Ag
0.250 0.250 0.250 Rh

# 5
GGA-PBE UAgRh2, optimized geometry; crystal system = trigonal; formation energy from the elements = -0.0159 eV per atom; uncorrected energy = -7.226 eV/atom; calculated volume = 67.8 Å³/cell; density = 13.51 g cm⁻³
1.0
1.434 0.828 9.526
-1.434 0.828 9.526
0.000 -1.656 9.526
U Ag Rh
1 1 2
Direct
0.000 0.000 0.000 U
0.500 0.500 0.500 Ag
0.251 0.251 0.251 Rh
0.749 0.749 0.749 Rh

# 6
GGA-PBE UAgRh2, optimized geometry; crystal system = tetragonal; formation energy from the elements = -0.3649 eV per atom; uncorrected energy = -7.575 eV/atom; calculated volume = 69.5 Å³/cell; density = 13.18 g cm⁻³
1.0
4.303 0.000 0.000
0.000 4.303 0.000
0.000 0.000 3.753
U Ag Rh
1 1 2
Direct
0.000 0.000 0.000 U
0.500 0.500 0.000 Ag
0.000 0.500 0.500 Rh
0.500 0.000 0.500 Rh